1.
# Pm4Ga3Au GGA-PBE relaxed
# Calculated volume: 26.02 A^3/atom
# Calculated total energy: -4.54 eV/atom
# Polymorph energy (0 for the lowest one): 0.00 kcal/mol of atoms
data_Pm4Ga3Au
_chemical_formula_sum 'Pm4 Ga3 Au1'
_symmetry_space_group_name_H-M 'P m m 2'
_symmetry_Int_Tables_number 25
_cell_length_a 4.2760
_cell_length_b 4.3128
_cell_length_c 11.2897
_cell_angle_alpha 90.00
_cell_angle_beta 90.00
_cell_angle_gamma 90.00
loop_
_symmetry_equiv_pos_as_xyz
'x,y,z'
'-x,-y,z'
'-x,y,z'
'x,-y,z'
loop_
_atom_site_label
_atom_site_type_symbol
_atom_site_fract_x
_atom_site_fract_y
_atom_site_fract_z
Pm1 Pm 0.0000 0.0000 0.0000
Pm2 Pm 0.0000 0.5000 0.2808
Pm3 Pm 0.5000 0.0000 0.4982
Pm4 Pm 0.5000 0.5000 0.7831
Ga1 Ga 0.0000 0.0000 0.7119
Ga2 Ga 0.0000 0.5000 0.5692
Ga3 Ga 0.5000 0.5000 0.0597
Au1 Au 0.5000 0.0000 0.2183

=====

2.
# Pm2GaAu3 GGA-PBE relaxed
# Calculated volume: 22.81 A^3/atom
# Calculated total energy: -4.51 eV/atom
# Polymorph energy (0 for the lowest one): 0.00 kcal/mol of atoms
data_Pm2GaAu3
_chemical_formula_sum 'Pm2 Ga1 Au3'
_symmetry_space_group_name_H-M 'P m m 2'
_symmetry_Int_Tables_number 25
_cell_length_a 3.6147
_cell_length_b 4.6414
_cell_length_c 8.1573
_cell_angle_alpha 90.00
_cell_angle_beta 90.00
_cell_angle_gamma 90.00
loop_
_symmetry_equiv_pos_as_xyz
'x,y,z'
'-x,-y,z'
'-x,y,z'
'x,-y,z'
loop_
_atom_site_label
_atom_site_type_symbol
_atom_site_fract_x
_atom_site_fract_y
_atom_site_fract_z
Pm1 Pm 0.0000 0.0000 0.0000
Pm2 Pm 0.0000 0.5000 0.4831
Ga1 Ga 0.5000 0.5000 0.8182
Au1 Au 0.5000 0.0000 0.3321
Au2 Au 0.5000 0.0000 0.6743
Au3 Au 0.5000 0.5000 0.1400

=====

3.
# Pm3Ga2Au7 GGA-PBE relaxed
# Calculated volume: 21.94 A^3/atom
# Calculated total energy: -4.17 eV/atom
data_Pm3Ga2Au7
_chemical_formula_sum 'Pm6 Ga4 Au14'
_symmetry_space_group_name_H-M 'I 4/m m m'
_symmetry_Int_Tables_number 139
_symmetry_space_group_name_Hall '-I 4 2'
_cell_length_a 4.2856
_cell_length_b 4.2856
_cell_length_c 28.6728
_cell_angle_alpha 90.00
_cell_angle_beta 90.00
_cell_angle_gamma 90.00
loop_
_atom_site_label
_atom_site_type_symbol
_atom_site_fract_x
_atom_site_fract_y
_atom_site_fract_z
Pm1 Pm 0.0000 0.0000 0.0000
Pm2 Pm 0.0000 0.0000 0.1734
Ga1 Ga 0.0000 0.0000 0.3680
Au1 Au 0.0000 0.0000 0.2779
Au2 Au 0.0000 0.0000 0.5000
Au3 Au 0.0000 0.5000 0.0798

=====

4.
# Pm3Ga6Au5 GGA-PBE relaxed
# Calculated volume: 20.25 A^3/atom
# Calculated total energy: -4.12 eV/atom
data_Pm3Ga6Au5
_chemical_formula_sum 'Pm6 Ga12 Au10'
_symmetry_space_group_name_H-M 'P m m n'
_symmetry_Int_Tables_number 59
_cell_length_a 4.4628
_cell_length_b 13.1618
_cell_length_c 9.6521
_cell_angle_alpha 90.00
_cell_angle_beta 90.00
_cell_angle_gamma 90.00
loop_
_symmetry_equiv_pos_as_xyz
'x,y,z'
'-x,-y,-z'
'-x+1/2,-y+1/2,z'
'x+1/2,y+1/2,-z'
'x+1/2,-y,-z'
'-x+1/2,y,z'
'-x,y+1/2,-z'
'x,-y+1/2,z'
loop_
_atom_site_label
_atom_site_type_symbol
_atom_site_fract_x
_atom_site_fract_y
_atom_site_fract_z
Pm1 Pm 0.2500 0.0527 0.2491
Pm2 Pm 0.2500 0.7500 0.2528
Ga1 Ga 0.2500 0.0837 0.8869
Ga2 Ga 0.2500 0.2500 0.0516
Ga3 Ga 0.2500 0.2500 0.4451
Ga4 Ga 0.2500 0.6004 0.5270
Au1 Au 0.2500 0.0959 0.6190
Au2 Au 0.2500 0.6150 0.9760
Au3 Au 0.2500 0.7500 0.7283

=====

5.
# PmGaAu3 GGA-PBE relaxed
# Calculated volume: 21.06 A^3/atom
# Calculated total energy: -4.07 eV/atom
# Polymorph energy (0 for the lowest one): 0.00 kcal/mol of atoms
data_PmGaAu3
_chemical_formula_sum 'Pm4 Ga4 Au12'
_symmetry_space_group_name_H-M 'P n m a'
_symmetry_Int_Tables_number 62
_cell_length_a 5.8414
_cell_length_b 12.6874
_cell_length_c 5.6833
_cell_angle_alpha 90.00
_cell_angle_beta 90.00
_cell_angle_gamma 90.00
loop_
_symmetry_equiv_pos_as_xyz
'x,y,z'
'-x,-y,-z'
'-x+1/2,-y,z+1/2'
'x+1/2,y,-z+1/2'
'x+1/2,-y+1/2,-z+1/2'
'-x+1/2,y+1/2,z+1/2'
'-x,y+1/2,-z'
'x,-y+1/2,z'
loop_
_atom_site_label
_atom_site_type_symbol
_atom_site_fract_x
_atom_site_fract_y
_atom_site_fract_z
Pm1 Pm 0.0000 0.0000 0.0000
Ga1 Ga 0.1827 0.2500 0.1730
Au1 Au 0.0116 0.6081 0.5131
Au2 Au 0.1533 0.7500 0.1432

=====

6.
# Pm3Ga4Au2 GGA-PBE relaxed
# Calculated volume: 22.52 A^3/atom
# Calculated total energy: -4.29 eV/atom
# Polymorph energy (0 for the lowest one): 2.71 kcal/mol of atoms
data_Pm3Ga4Au2
_chemical_formula_sum 'Pm6 Ga8 Au4'
_symmetry_space_group_name_H-M 'C 1 2/m 1'
_symmetry_Int_Tables_number 12
_cell_length_a 10.8326
_cell_length_b 4.3719
_cell_length_c 8.7648
_cell_angle_alpha 90.00
_cell_angle_beta 102.44
_cell_angle_gamma 90.00
loop_
_symmetry_equiv_pos_as_xyz
'x,y,z'
'-x,-y,-z'
'-x,y,-z'
'x,-y,z'
'x+1/2,y+1/2,z'
'-x+1/2,-y+1/2,-z'
'-x+1/2,y+1/2,-z'
'x+1/2,-y+1/2,z'
loop_
_atom_site_label
_atom_site_type_symbol
_atom_site_fract_x
_atom_site_fract_y
_atom_site_fract_z
Pm1 Pm 0.0000 0.0000 0.0000
Pm2 Pm 0.1268 0.5000 0.3796
Ga1 Ga 0.0734 0.0000 0.6507
Ga2 Ga 0.2020 0.5000 0.0707
Au1 Au 0.1933 0.5000 0.7596

=====

7.
# Pm3GaAu3 GGA-PBE relaxed
# Calculated volume: 29.37 A^3/atom
# Calculated total energy: -4.38 eV/atom
# Polymorph energy (0 for the lowest one): 5.74 kcal/mol of atoms
data_Pm3GaAu3
_chemical_formula_sum 'Pm6 Ga2 Au6'
_symmetry_space_group_name_H-M 'P 63/m'
_symmetry_Int_Tables_number 176
_symmetry_space_group_name_Hall '-P 6c'
_cell_length_a 8.8858
_cell_length_b 8.8858
_cell_length_c 6.0124
_cell_angle_alpha 90.00
_cell_angle_beta 90.00
_cell_angle_gamma 120.00
loop_
_atom_site_label
_atom_site_type_symbol
_atom_site_fract_x
_atom_site_fract_y
_atom_site_fract_z
Pm1 Pm 0.0369 0.3640 0.2500
Ga1 Ga 0.3333 0.6667 0.7500
Au1 Au 0.0348 0.3459 0.7500

=====

8.
# Pm4GaAu3 GGA-PBE relaxed
# Calculated volume: 25.91 A^3/atom
# Calculated total energy: -4.72 eV/atom
data_Pm4GaAu3
_chemical_formula_sum 'Pm4 Ga1 Au3'
_symmetry_space_group_name_H-M 'P m m 2'
_symmetry_Int_Tables_number 25
_cell_length_a 3.8554
_cell_length_b 4.7245
_cell_length_c 11.3799
_cell_angle_alpha 90.00
_cell_angle_beta 90.00
_cell_angle_gamma 90.00
loop_
_symmetry_equiv_pos_as_xyz
'x,y,z'
'-x,-y,z'
'-x,y,z'
'x,-y,z'
loop_
_atom_site_label
_atom_site_type_symbol
_atom_site_fract_x
_atom_site_fract_y
_atom_site_fract_z
Pm1 Pm 0.0000 0.0000 0.0000
Pm2 Pm 0.0000 0.5000 0.2785
Pm3 Pm 0.5000 0.0000 0.4999
Pm4 Pm 0.5000 0.5000 0.7821
Ga1 Ga 0.0000 0.0000 0.7225
Au1 Au 0.0000 0.5000 0.5583
Au2 Au 0.5000 0.0000 0.2259
Au3 Au 0.5000 0.5000 0.0569

=====

9.
# PmGa2Au GGA-PBE relaxed
# Calculated volume: 21.11 A^3/atom
# Calculated total energy: -4.20 eV/atom
# Polymorph energy (0 for the lowest one): 0.00 kcal/mol of atoms
data_PmGa2Au
_chemical_formula_sum 'Pm8 Ga16 Au8'
_symmetry_space_group_name_H-M 'C m c m'
_symmetry_Int_Tables_number 63
_symmetry_space_group_name_Hall '-C 2c 2'
_cell_length_a 4.4573
_cell_length_b 16.4022
_cell_length_c 9.2404
_cell_angle_alpha 90.00
_cell_angle_beta 90.00
_cell_angle_gamma 90.00
loop_
_atom_site_label
_atom_site_type_symbol
_atom_site_fract_x
_atom_site_fract_y
_atom_site_fract_z
Pm1 Pm 0.0000 0.0000 0.0000
Pm2 Pm 0.0000 0.2015 0.2500
Ga1 Ga 0.0000 0.1920 0.6080
Ga2 Ga 0.0000 0.4099 0.2500
Ga3 Ga 0.0000 0.4385 0.7500
Au1 Au 0.0000 0.3534 0.5137

=====

10.
# PmGaAu6 GGA-PBE relaxed
# Calculated volume: 20.18 A^3/atom
# Calculated total energy: -3.76 eV/atom
data_PmGaAu6
_chemical_formula_sum 'Pm1 Ga1 Au6'
_symmetry_space_group_name_H-M 'P m m 2'
_symmetry_Int_Tables_number 25
_cell_length_a 4.4592
_cell_length_b 6.8708
_cell_length_c 5.2705
_cell_angle_alpha 90.00
_cell_angle_beta 90.00
_cell_angle_gamma 90.00
loop_
_symmetry_equiv_pos_as_xyz
'x,y,z'
'-x,-y,z'
'-x,y,z'
'x,-y,z'
loop_
_atom_site_label
_atom_site_type_symbol
_atom_site_fract_x
_atom_site_fract_y
_atom_site_fract_z
Pm1 Pm 0.0000 0.0000 0.0000
Ga1 Ga 0.5000 0.5000 0.3450
Au1 Au 0.0000 0.2690 0.5007
Au2 Au 0.0000 0.5000 0.0380
Au3 Au 0.5000 0.0000 0.4431
Au4 Au 0.5000 0.2879 0.8479

=====

11.
# Pm2GaAu5 GGA-PBE relaxed
# Calculated volume: 22.42 A^3/atom
# Calculated total energy: -4.15 eV/atom
data_Pm2GaAu5
_chemical_formula_sum 'Pm4 Ga2 Au10'
_symmetry_space_group_name_H-M 'I 4 m m'
_symmetry_Int_Tables_number 107
_symmetry_space_group_name_Hall 'I 4 -2'
_cell_length_a 6.4640
_cell_length_b 6.4640
_cell_length_c 8.5855
_cell_angle_alpha 90.00
_cell_angle_beta 90.00
_cell_angle_gamma 90.00
loop_
_atom_site_label
_atom_site_type_symbol
_atom_site_fract_x
_atom_site_fract_y
_atom_site_fract_z
Pm1 Pm 0.0000 0.5000 0.0000
Ga1 Ga 0.0000 0.0000 0.1470
Au1 Au 0.0000 0.0000 0.4779
Au2 Au 0.2228 0.2228 0.7507

=====

12.
# Pm2Ga3Au17 GGA-PBE relaxed
# Calculated volume: 21.86 A^3/atom
# Calculated total energy: -3.43 eV/atom
data_Pm2Ga3Au17
_chemical_formula_sum 'Pm6 Ga9 Au51'
_symmetry_space_group_name_H-M 'R -3 m'
_symmetry_Int_Tables_number 166
_symmetry_space_group_name_Hall '-R 3 2"'
_cell_length_a 10.4782
_cell_length_b 10.4782
_cell_length_c 15.1765
_cell_angle_alpha 90.00
_cell_angle_beta 90.00
_cell_angle_gamma 120.00
loop_
_atom_site_label
_atom_site_type_symbol
_atom_site_fract_x
_atom_site_fract_y
_atom_site_fract_z
Pm1 Pm 0.0000 0.0000 0.2179
Ga1 Ga 0.0000 0.5000 0.5000
Au1 Au 0.0000 0.0000 0.4084
Au2 Au 0.0000 0.2659 0.5000
Au3 Au 0.0000 0.5000 0.0000
Au4 Au 0.0348 0.5174 0.3335

=====

13.
# Pm3Ga8Au3 GGA-PBE relaxed
# Calculated volume: 20.20 A^3/atom
# Calculated total energy: -4.04 eV/atom
# Polymorph energy (0 for the lowest one): 0.00 kcal/mol of atoms
data_Pm3Ga8Au3
_chemical_formula_sum 'Pm6 Ga16 Au6'
_symmetry_space_group_name_H-M 'C 1 2/m 1'
_symmetry_Int_Tables_number 12
_cell_length_a 16.0918
_cell_length_b 4.4345
_cell_length_c 9.9547
_cell_angle_alpha 90.00
_cell_angle_beta 127.22
_cell_angle_gamma 90.00
loop_
_symmetry_equiv_pos_as_xyz
'x,y,z'
'-x,-y,-z'
'-x,y,-z'
'x,-y,z'
'x+1/2,y+1/2,z'
'-x+1/2,-y+1/2,-z'
'-x+1/2,y+1/2,-z'
'x+1/2,-y+1/2,z'
loop_
_atom_site_label
_atom_site_type_symbol
_atom_site_fract_x
_atom_site_fract_y
_atom_site_fract_z
Pm1 Pm 0.0000 0.0000 0.0000
Pm2 Pm 0.1902 0.5000 0.6795
Ga1 Ga 0.0090 0.5000 0.7059
Ga2 Ga 0.1420 0.0000 0.4216
Ga3 Ga 0.1475 0.0000 0.8743
Ga4 Ga 0.1614 0.5000 0.0419
Au1 Au 0.0000 0.0000 0.5000
Au2 Au 0.1539 0.5000 0.2943

=====

14.
# PmGa2Au GGA-PBE relaxed
# Calculated volume: 20.46 A^3/atom
# Calculated total energy: -3.97 eV/atom
# Polymorph energy (0 for the lowest one): 5.09 kcal/mol of atoms
data_PmGa2Au
_chemical_formula_sum 'Pm4 Ga8 Au4'
_symmetry_space_group_name_H-M 'F m -3 m'
_symmetry_Int_Tables_number 225
_symmetry_space_group_name_Hall '-F 4 2 3'
_cell_length_a 6.8924
_cell_length_b 6.8924
_cell_length_c 6.8924
_cell_angle_alpha 90.00
_cell_angle_beta 90.00
_cell_angle_gamma 90.00
loop_
_atom_site_label
_atom_site_type_symbol
_atom_site_fract_x
_atom_site_fract_y
_atom_site_fract_z
Pm1 Pm 0.0000 0.0000 0.0000
Ga1 Ga 0.2500 0.2500 0.2500
Au1 Au 0.0000 0.0000 0.5000

=====

15.
# Pm3Ga4Au4 GGA-PBE relaxed
# Calculated volume: 21.87 A^3/atom
# Calculated total energy: -4.29 eV/atom
# Polymorph energy (0 for the lowest one): 0.00 kcal/mol of atoms
data_Pm3Ga4Au4
_chemical_formula_sum 'Pm6 Ga8 Au8'
_symmetry_space_group_name_H-M 'C 1 2/m 1'
_symmetry_Int_Tables_number 12
_cell_length_a 28.4181
_cell_length_b 3.8448
_cell_length_c 4.4585
_cell_angle_alpha 90.00
_cell_angle_beta 98.97
_cell_angle_gamma 90.00
loop_
_symmetry_equiv_pos_as_xyz
'x,y,z'
'-x,-y,-z'
'-x,y,-z'
'x,-y,z'
'x+1/2,y+1/2,z'
'-x+1/2,-y+1/2,-z'
'-x+1/2,y+1/2,-z'
'x+1/2,-y+1/2,z'
loop_
_atom_site_label
_atom_site_type_symbol
_atom_site_fract_x
_atom_site_fract_y
_atom_site_fract_z
Pm1 Pm 0.0000 0.0000 0.0000
Pm2 Pm 0.1445 0.0000 0.6452
Ga1 Ga 0.0959 0.5000 0.0968
Ga2 Ga 0.2445 0.5000 0.7447
Au1 Au 0.0498 0.5000 0.5508
Au2 Au 0.1880 0.5000 0.1888

=====

16.
# Pm2GaAu8 GGA-PBE relaxed
# Calculated volume: 21.02 A^3/atom
# Calculated total energy: -4.03 eV/atom
data_Pm2GaAu8
_chemical_formula_sum 'Pm2 Ga1 Au8'
_symmetry_space_group_name_H-M 'P -1'
_symmetry_Int_Tables_number 2
_cell_length_a 5.2868
_cell_length_b 7.0067
_cell_length_c 7.4927
_cell_angle_alpha 114.34
_cell_angle_beta 105.88
_cell_angle_gamma 99.16
loop_
_symmetry_equiv_pos_as_xyz
'x,y,z'
'-x,-y,-z'
loop_
_atom_site_label
_atom_site_type_symbol
_atom_site_fract_x
_atom_site_fract_y
_atom_site_fract_z
Pm1 Pm 0.2002 0.2014 0.4012
Ga1 Ga 0.5000 0.5000 0.0000
Au1 Au 0.0462 0.2561 0.9985
Au2 Au 0.1817 0.6782 0.3589
Au3 Au 0.3410 0.6784 0.7650
Au4 Au 0.4217 0.0855 0.7632

=====

17.
# Pm3Ga4Au4 GGA-PBE relaxed
# Calculated volume: 21.64 A^3/atom
# Calculated total energy: -4.28 eV/atom
# Polymorph energy (0 for the lowest one): 0.24 kcal/mol of atoms
data_Pm3Ga4Au4
_chemical_formula_sum 'Pm6 Ga8 Au8'
_symmetry_space_group_name_H-M 'I m m m'
_symmetry_Int_Tables_number 71
_symmetry_space_group_name_Hall '-I 2 2'
_cell_length_a 3.8324
_cell_length_b 4.5823
_cell_length_c 27.1136
_cell_angle_alpha 90.00
_cell_angle_beta 90.00
_cell_angle_gamma 90.00
loop_
_atom_site_label
_atom_site_type_symbol
_atom_site_fract_x
_atom_site_fract_y
_atom_site_fract_z
Pm1 Pm 0.0000 0.0000 0.0000
Pm2 Pm 0.0000 0.5000 0.1443
Ga1 Ga 0.0000 0.0000 0.4525
Ga2 Ga 0.0000 0.5000 0.3101
Au1 Au 0.0000 0.0000 0.2608
Au2 Au 0.0000 0.5000 0.4060

=====

18.
# PmGaAu4 GGA-PBE relaxed
# Calculated volume: 21.34 A^3/atom
# Calculated total energy: -3.91 eV/atom
# Polymorph energy (0 for the lowest one): 0.98 kcal/mol of atoms
data_PmGaAu4
_chemical_formula_sum 'Pm4 Ga4 Au16'
_symmetry_space_group_name_H-M 'C m c m'
_symmetry_Int_Tables_number 63
_symmetry_space_group_name_Hall '-C 2c 2'
_cell_length_a 5.0257
_cell_length_b 13.8755
_cell_length_c 7.3440
_cell_angle_alpha 90.00
_cell_angle_beta 90.00
_cell_angle_gamma 90.00
loop_
_atom_site_label
_atom_site_type_symbol
_atom_site_fract_x
_atom_site_fract_y
_atom_site_fract_z
Pm1 Pm 0.0000 0.1187 0.2500
Ga1 Ga 0.0000 0.3634 0.2500
Au1 Au 0.0000 0.0930 0.7500
Au2 Au 0.0000 0.2871 0.5645
Au3 Au 0.0000 0.5000 0.0000

=====

19.
# PmPrGaAu GGA-PBE relaxed
# Calculated volume: 25.92 A^3/atom
# Calculated total energy: -4.58 eV/atom
# Polymorph energy (0 for the lowest one): 0.93 kcal/mol of atoms
data_PmPrGaAu
_chemical_formula_sum 'Pm4 Pr4 Ga4 Au4'
_symmetry_space_group_name_H-M 'F -4 3 m'
_symmetry_Int_Tables_number 216
_symmetry_space_group_name_Hall 'F -4 2 3'
_cell_length_a 7.4575
_cell_length_b 7.4575
_cell_length_c 7.4575
_cell_angle_alpha 90.00
_cell_angle_beta 90.00
_cell_angle_gamma 90.00
loop_
_atom_site_label
_atom_site_type_symbol
_atom_site_fract_x
_atom_site_fract_y
_atom_site_fract_z
Pm1 Pm 0.0000 0.0000 0.0000
Pr1 Pr 0.0000 0.0000 0.5000
Ga1 Ga 0.2500 0.2500 0.7500
Au1 Au 0.2500 0.2500 0.2500

=====

20.
# PmPrGaAu GGA-PBE relaxed
# Calculated volume: 26.43 A^3/atom
# Calculated total energy: -4.62 eV/atom
# Polymorph energy (0 for the lowest one): 0.00 kcal/mol of atoms
data_PmPrGaAu
_chemical_formula_sum 'Pm2 Pr2 Ga2 Au2'
_symmetry_space_group_name_H-M 'A m m 2'
_symmetry_Int_Tables_number 38
_cell_length_a 4.6134
_cell_length_b 3.9864
_cell_length_c 11.4968
_cell_angle_alpha 90.00
_cell_angle_beta 90.00
_cell_angle_gamma 90.00
loop_
_symmetry_equiv_pos_as_xyz
'x,y,z'
'-x,-y,z'
'-x,y,z'
'x,-y,z'
'x,y+1/2,z+1/2'
'-x,-y+1/2,z+1/2'
'-x,y+1/2,z+1/2'
'x,-y+1/2,z+1/2'
loop_
_atom_site_label
_atom_site_type_symbol
_atom_site_fract_x
_atom_site_fract_y
_atom_site_fract_z
Pm1 Pm 0.0000 0.0000 0.0000
Pr1 Pr 0.5000 0.0000 0.7170
Ga1 Ga 0.0000 0.0000 0.2813
Au1 Au 0.5000 0.0000 0.4386